(1)
KTlCd2Ru | PBE | relaxed

Lattice parameters (Å, degrees): 5.3173 5.3173 5.2730 90.00 90.00 90.00
With the nearest neighbours (Å) after each atom.
Space group P4/mmm (No. 123)
Inequivalent atoms, fractional coordinates:
K  0.0000  0.0000  0.0000 x1  8 Cd 3.74, 4 Tl 3.76
Tl  0.5000  0.5000  0.0000 x1  2 Ru 2.64
Cd  0.0000  0.5000  0.5000 x2  2 Ru 2.66
Ru  0.5000  0.5000  0.5000 x1  2 Tl 2.64, 4 Cd 2.66

Computed properties:
- magnetization (μB/f.u.) = 0.00
- theoretical density (g/cm3) = 6.342
- energy of formation (eV/atom) = 0.11

=====

(2)
KTl2CdRu | PBE | relaxed

Lattice parameters (Å, degrees): 5.3157 5.3157 5.3651 90.00 90.00 90.00
With the nearest neighbours (Å) after each atom.
Space group P4/mmm (No. 123)
Inequivalent atoms, fractional coordinates:
K  0.0000  0.0000  0.0000 x1  4 Cd 3.76, 8 Tl 3.78
Tl  0.0000  0.5000  0.5000 x2  2 Ru 2.66
Cd  0.5000  0.5000  0.0000 x1  2 Ru 2.68
Ru  0.5000  0.5000  0.5000 x1  4 Tl 2.66, 2 Cd 2.68

Computed properties:
- magnetization (μB/f.u.) = 0.00
- theoretical density (g/cm3) = 7.244
- energy of formation (eV/atom) = 0.06